Record 1
# meta-GGA SCAN ScInPt2, single point on PBEsol structure
# - ΔH_f (0 K): -400 kJ/mol of formula units
# - E: -48.0386 eV/atom
data_ScInPt2
_symmetry_space_group_name_H-M 'P 4/m m m'
_symmetry_Int_Tables_number 123
_symmetry_space_group_name_Hall '-P 4 2'
_cell_length_a 3.421
_cell_length_b 3.421
_cell_length_c 5.890
_cell_angle_alpha 90.00
_cell_angle_beta 90.00
_cell_angle_gamma 90.00
loop_
_atom_site_label
_atom_site_type_symbol
_atom_site_fract_x
_atom_site_fract_y
_atom_site_fract_z
Sc1 Sc 0.000 0.000 0.000
In1 In 0.000 0.000 0.500
Pt1 Pt 0.500 0.500 0.247

=====

Record 2
# meta-GGA SCAN ScInPt, single point on PBEsol structure
# - ΔH_f (0 K): -189 kJ/mol of formula units
# - E: -39.9263 eV/atom
data_ScInPt
_symmetry_space_group_name_H-M 'P 3 m 1'
_symmetry_Int_Tables_number 156
_cell_length_a 3.5568
_cell_length_b 3.5568
_cell_length_c 5.8402
_cell_angle_alpha 90.00
_cell_angle_beta 90.00
_cell_angle_gamma 120.00
loop_
_symmetry_equiv_pos_as_xyz
'x,y,z'
'-y,x-y,z'
'-x+y,-x,z'
'-y,-x,z'
'-x+y,y,z'
'x,x-y,z'
loop_
_atom_site_label
_atom_site_type_symbol
_atom_site_fract_x
_atom_site_fract_y
_atom_site_fract_z
Sc1 Sc 0.0000 0.0000 0.0000
In1 In 0.3333 0.6667 0.5925
Pt1 Pt 0.6667 0.3333 0.2757

=====

Record 3
# meta-GGA SCAN ScInPt, single point on PBEsol structure
# - ΔH_f (0 K): -324 kJ/mol of formula units
# - E: -40.3911 eV/atom
data_ScInPt
_symmetry_space_group_name_H-M 'P -6 2 m'
_symmetry_Int_Tables_number 189
_symmetry_space_group_name_Hall 'P -6 -2'
_cell_length_a 7.5539
_cell_length_b 7.5539
_cell_length_c 3.4331
_cell_angle_alpha 90.00
_cell_angle_beta 90.00
_cell_angle_gamma 120.00
loop_
_atom_site_label
_atom_site_type_symbol
_atom_site_fract_x
_atom_site_fract_y
_atom_site_fract_z
Sc1 Sc 0.0000 0.3965 0.0000
In1 In 0.0000 0.7245 0.5000
Pt1 Pt 0.0000 0.0000 0.0000
Pt2 Pt 0.3333 0.6667 0.5000

=====

Record 4
# meta-GGA SCAN ScInPt, single point on PBEsol structure
# - ΔH_f (0 K): -130 kJ/mol of formula units
# - E: -39.7199 eV/atom
data_ScInPt
_symmetry_space_group_name_H-M 'F -4 3 m'
_symmetry_Int_Tables_number 216
_symmetry_space_group_name_Hall 'F -4 2 3'
_cell_length_a 6.371
_cell_length_b 6.371
_cell_length_c 6.371
_cell_angle_alpha 90.00
_cell_angle_beta 90.00
_cell_angle_gamma 90.00
loop_
_atom_site_label
_atom_site_type_symbol
_atom_site_fract_x
_atom_site_fract_y
_atom_site_fract_z
Sc1 Sc 0.000 0.000 0.000
In1 In 0.250 0.250 0.750
Pt1 Pt 0.250 0.250 0.250

=====

Record 5
# meta-GGA SCAN ScIn2Pt, single point on PBEsol structure
# - ΔH_f (0 K): -244 kJ/mol of formula units
# - E: -38.4335 eV/atom
data_ScIn2Pt
_symmetry_space_group_name_H-M 'I -4 m 2'
_symmetry_Int_Tables_number 119
_symmetry_space_group_name_Hall 'I -4 -2'
_cell_length_a 4.343
_cell_length_b 4.343
_cell_length_c 8.087
_cell_angle_alpha 90.00
_cell_angle_beta 90.00
_cell_angle_gamma 90.00
loop_
_atom_site_label
_atom_site_type_symbol
_atom_site_fract_x
_atom_site_fract_y
_atom_site_fract_z
Sc1 Sc 0.000 0.000 0.000
In1 In 0.000 0.000 0.500
In2 In 0.000 0.500 0.250
Pt1 Pt 0.000 0.500 0.750

=====

Record 6
# meta-GGA SCAN ScInPt2, single point on PBEsol structure
# - ΔH_f (0 K): -286 kJ/mol of formula units
# - E: -47.7425 eV/atom
data_ScInPt2
_symmetry_space_group_name_H-M 'F -4 3 m'
_symmetry_Int_Tables_number 216
_symmetry_space_group_name_Hall 'F -4 2 3'
_cell_length_a 6.497
_cell_length_b 6.497
_cell_length_c 6.497
_cell_angle_alpha 90.00
_cell_angle_beta 90.00
_cell_angle_gamma 90.00
loop_
_atom_site_label
_atom_site_type_symbol
_atom_site_fract_x
_atom_site_fract_y
_atom_site_fract_z
Sc1 Sc 0.000 0.000 0.000
In1 In 0.250 0.250 0.250
Pt1 Pt 0.000 0.000 0.500
Pt2 Pt 0.250 0.250 0.750

=====

Record 7
# meta-GGA SCAN ScInPt2, single point on PBEsol structure
# - ΔH_f (0 K): -385 kJ/mol of formula units
# - E: -48.0007 eV/atom
data_ScInPt2
_symmetry_space_group_name_H-M 'I -4 m 2'
_symmetry_Int_Tables_number 119
_symmetry_space_group_name_Hall 'I -4 -2'
_cell_length_a 3.975
_cell_length_b 3.975
_cell_length_c 8.587
_cell_angle_alpha 90.00
_cell_angle_beta 90.00
_cell_angle_gamma 90.00
loop_
_atom_site_label
_atom_site_type_symbol
_atom_site_fract_x
_atom_site_fract_y
_atom_site_fract_z
Sc1 Sc 0.000 0.000 0.000
In1 In 0.000 0.500 0.250
Pt1 Pt 0.000 0.000 0.500
Pt2 Pt 0.000 0.500 0.750

=====

Record 8
# meta-GGA SCAN ScIn2PtSe, single point on PBEsol structure
# - Formation energy from raw total energies: 2.4 eV per formula unit
# - E: -33.7831 eV/atom
data_ScIn2PtSe
_symmetry_space_group_name_H-M 'P 4/m m m'
_symmetry_Int_Tables_number 123
_symmetry_space_group_name_Hall '-P 4 2'
_cell_length_a 5.569
_cell_length_b 5.569
_cell_length_c 4.659
_cell_angle_alpha 90.00
_cell_angle_beta 90.00
_cell_angle_gamma 90.00
loop_
_atom_site_label
_atom_site_type_symbol
_atom_site_fract_x
_atom_site_fract_y
_atom_site_fract_z
Sc1 Sc 0.000 0.000 0.000
In1 In 0.000 0.500 0.000
Pt1 Pt 0.000 0.000 0.500
Se1 Se 0.500 0.500 0.500

=====

Record 9
# meta-GGA SCAN InPt2Se, single point on PBEsol structure
# - Formation energy from raw total energies: -0.8 eV per formula unit
# - E: -48.6665 eV/atom
data_InPt2Se
_symmetry_space_group_name_H-M 'P m m 2'
_symmetry_Int_Tables_number 25
_cell_length_a 2.856
_cell_length_b 4.811
_cell_length_c 5.083
_cell_angle_alpha 90.00
_cell_angle_beta 90.00
_cell_angle_gamma 90.00
loop_
_symmetry_equiv_pos_as_xyz
'x,y,z'
'-x,-y,z'
'-x,y,z'
'x,-y,z'
loop_
_atom_site_label
_atom_site_type_symbol
_atom_site_fract_x
_atom_site_fract_y
_atom_site_fract_z
In1 In 0.000 0.000 0.000
Pt1 Pt 0.500 0.000 0.507
Pt2 Pt 0.500 0.500 0.863
Se1 Se 0.500 0.500 0.370

=====

Record 10
# meta-GGA SCAN InPt4Se, single point on PBEsol structure
# - Formation energy from raw total energies: 1.1 eV per formula unit
# - E: -55.5244 eV/atom
data_InPt4Se
_symmetry_space_group_name_H-M 'F -4 3 m'
_symmetry_Int_Tables_number 216
_symmetry_space_group_name_Hall 'F -4 2 3'
_cell_length_a 7.472
_cell_length_b 7.472
_cell_length_c 7.472
_cell_angle_alpha 90.00
_cell_angle_beta 90.00
_cell_angle_gamma 90.00
loop_
_atom_site_label
_atom_site_type_symbol
_atom_site_fract_x
_atom_site_fract_y
_atom_site_fract_z
In1 In 0.000 0.000 0.000
Pt1 Pt 0.125 0.125 0.625
Se1 Se 0.250 0.250 0.250

=====

Record 11
# meta-GGA SCAN InPtSe2, single point on PBEsol structure
# - Formation energy from raw total energies: 1.1 eV per formula unit
# - E: -35.6590 eV/atom
data_InPtSe2
_symmetry_space_group_name_H-M 'P 4/m m m'
_symmetry_Int_Tables_number 123
_symmetry_space_group_name_Hall '-P 4 2'
_cell_length_a 3.208
_cell_length_b 3.208
_cell_length_c 7.731
_cell_angle_alpha 90.00
_cell_angle_beta 90.00
_cell_angle_gamma 90.00
loop_
_atom_site_label
_atom_site_type_symbol
_atom_site_fract_x
_atom_site_fract_y
_atom_site_fract_z
In1 In 0.000 0.000 0.000
Pt1 Pt 0.000 0.000 0.500
Se1 Se 0.500 0.500 0.298

=====

Record 12
# meta-GGA SCAN InPt2Se, single point on PBEsol structure
# - Formation energy from raw total energies: 0.1 eV per formula unit
# - E: -48.4500 eV/atom
data_InPt2Se
_symmetry_space_group_name_H-M 'I -4 m 2'
_symmetry_Int_Tables_number 119
_symmetry_space_group_name_Hall 'I -4 -2'
_cell_length_a 3.939
_cell_length_b 3.939
_cell_length_c 8.771
_cell_angle_alpha 90.00
_cell_angle_beta 90.00
_cell_angle_gamma 90.00
loop_
_atom_site_label
_atom_site_type_symbol
_atom_site_fract_x
_atom_site_fract_y
_atom_site_fract_z
In1 In 0.000 0.000 0.000
Pt1 Pt 0.000 0.000 0.500
Pt2 Pt 0.000 0.500 0.250
Se1 Se 0.000 0.500 0.750

=====

Record 13
# meta-GGA SCAN InPt2Se, single point on PBEsol structure
# - Formation energy from raw total energies: -0.8 eV per formula unit
# - E: -48.6750 eV/atom
data_InPt2Se
_symmetry_space_group_name_H-M 'R 3 m'
_symmetry_Int_Tables_number 160
_symmetry_space_group_name_Hall 'R 3 -2"'
_cell_length_a 3.6411
_cell_length_b 3.6411
_cell_length_c 20.8208
_cell_angle_alpha 90.00
_cell_angle_beta 90.00
_cell_angle_gamma 120.00
loop_
_atom_site_label
_atom_site_type_symbol
_atom_site_fract_x
_atom_site_fract_y
_atom_site_fract_z
In1 In 0.0000 0.0000 0.0000
Pt1 Pt 0.0000 0.0000 0.2531
Pt2 Pt 0.0000 0.0000 0.5091
Se1 Se 0.0000 0.0000 0.7823

=====

Record 14
# meta-GGA SCAN TiInPt2Se, single point on PBEsol structure
# - Formation energy from raw total energies: 4.3 eV per formula unit
# - E: -41.1210 eV/atom
data_TiInPt2Se
_symmetry_space_group_name_H-M 'P 4/m m m'
_symmetry_Int_Tables_number 123
_symmetry_space_group_name_Hall '-P 4 2'
_cell_length_a 4.874
_cell_length_b 4.874
_cell_length_c 5.032
_cell_angle_alpha 90.00
_cell_angle_beta 90.00
_cell_angle_gamma 90.00
loop_
_atom_site_label
_atom_site_type_symbol
_atom_site_fract_x
_atom_site_fract_y
_atom_site_fract_z
Ti1 Ti 0.000 0.000 0.000
In1 In 0.500 0.500 0.500
Pt1 Pt 0.000 0.500 0.500
Se1 Se 0.500 0.500 0.000

=====

Record 15
# meta-GGA SCAN In2PtWSe, single point on PBEsol structure
# - Formation energy from raw total energies: 4.7 eV per formula unit
# - E: -44.4067 eV/atom
data_In2PtWSe
_symmetry_space_group_name_H-M 'P 4/m m m'
_symmetry_Int_Tables_number 123
_symmetry_space_group_name_Hall '-P 4 2'
_cell_length_a 5.293
_cell_length_b 5.293
_cell_length_c 4.717
_cell_angle_alpha 90.00
_cell_angle_beta 90.00
_cell_angle_gamma 90.00
loop_
_atom_site_label
_atom_site_type_symbol
_atom_site_fract_x
_atom_site_fract_y
_atom_site_fract_z
In1 In 0.000 0.500 0.000
Pt1 Pt 0.000 0.000 0.500
W1 W 0.000 0.000 0.000
Se1 Se 0.500 0.500 0.500

=====

Record 16
# meta-GGA SCAN InSiPt2, single point on PBEsol structure
# - Formation energy from raw total energies: -1.4 eV per formula unit
# - E: -46.2970 eV/atom
data_InSiPt2
_symmetry_space_group_name_H-M 'P 1 m 1'
_symmetry_Int_Tables_number 6
_cell_length_a 2.950
_cell_length_b 4.636
_cell_length_c 4.960
_cell_angle_alpha 90.00
_cell_angle_beta 105.64
_cell_angle_gamma 90.00
loop_
_symmetry_equiv_pos_as_xyz
'x,y,z'
'x,-y,z'
loop_
_atom_site_label
_atom_site_type_symbol
_atom_site_fract_x
_atom_site_fract_y
_atom_site_fract_z
In1 In 0.000 0.000 0.000
Si1 Si 0.370 0.500 0.688
Pt1 Pt 0.292 0.000 0.535
Pt2 Pt 0.652 0.500 0.245

=====

Record 17
# meta-GGA SCAN InSiPt2, single point on PBEsol structure
# - Formation energy from raw total energies: -0.8 eV per formula unit
# - E: -46.1582 eV/atom
data_InSiPt2
_symmetry_space_group_name_H-M 'P 4/m m m'
_symmetry_Int_Tables_number 123
_symmetry_space_group_name_Hall '-P 4 2'
_cell_length_a 4.416
_cell_length_b 4.416
_cell_length_c 3.262
_cell_angle_alpha 90.00
_cell_angle_beta 90.00
_cell_angle_gamma 90.00
loop_
_atom_site_label
_atom_site_type_symbol
_atom_site_fract_x
_atom_site_fract_y
_atom_site_fract_z
In1 In 0.000 0.000 0.000
Si1 Si 0.500 0.500 0.000
Pt1 Pt 0.000 0.500 0.500

=====

Record 18
# meta-GGA SCAN InSiPt2, single point on PBEsol structure
# - Formation energy from raw total energies: -0.6 eV per formula unit
# - E: -46.0970 eV/atom
data_InSiPt2
_symmetry_space_group_name_H-M 'R 3 m'
_symmetry_Int_Tables_number 160
_symmetry_space_group_name_Hall 'R 3 -2"'
_cell_length_a 3.1726
_cell_length_b 3.1726
_cell_length_c 23.6942
_cell_angle_alpha 90.00
_cell_angle_beta 90.00
_cell_angle_gamma 120.00
loop_
_atom_site_label
_atom_site_type_symbol
_atom_site_fract_x
_atom_site_fract_y
_atom_site_fract_z
In1 In 0.0000 0.0000 0.0000
Si1 Si 0.0000 0.0000 0.2363
Pt1 Pt 0.0000 0.0000 0.5076
Pt2 Pt 0.0000 0.0000 0.7516

=====

Record 19
# meta-GGA SCAN InSiPt5, single point on PBEsol structure
# - Formation energy from raw total energies: -4.3 eV per formula unit
# - E: -56.9587 eV/atom
data_InSiPt5
_symmetry_space_group_name_H-M 'P 4/m m m'
_symmetry_Int_Tables_number 123
_symmetry_space_group_name_Hall '-P 4 2'
_cell_length_a 3.944
_cell_length_b 3.944
_cell_length_c 7.034
_cell_angle_alpha 90.00
_cell_angle_beta 90.00
_cell_angle_gamma 90.00
loop_
_atom_site_label
_atom_site_type_symbol
_atom_site_fract_x
_atom_site_fract_y
_atom_site_fract_z
In1 In 0.000 0.000 0.000
Si1 Si 0.500 0.500 0.500
Pt1 Pt 0.000 0.500 0.295
Pt2 Pt 0.500 0.500 0.000

=====

Record 20
# meta-GGA SCAN InSi3Pt, single point on PBEsol structure
# - Formation energy from raw total energies: 9.0 eV per formula unit
# - E: -24.9306 eV/atom
data_InSi3Pt
_symmetry_space_group_name_H-M 'P m -3 m'
_symmetry_Int_Tables_number 221
_symmetry_space_group_name_Hall '-P 4 2 3'
_cell_length_a 4.869
_cell_length_b 4.869
_cell_length_c 4.869
_cell_angle_alpha 90.00
_cell_angle_beta 90.00
_cell_angle_gamma 90.00
loop_
_atom_site_label
_atom_site_type_symbol
_atom_site_fract_x
_atom_site_fract_y
_atom_site_fract_z
In1 In 0.000 0.000 0.000
Si1 Si 0.000 0.000 0.500
Pt1 Pt 0.500 0.500 0.500